# MnWO3

A relaxed structure of MnWO3 (PBE+U, the Alexandria database).

abc: 3.995 3.995 3.995
angles: 90.00 90.00 90.00
Fractional coordinates of all 5 atoms:
Mn  0.000  0.000  0.000
W  0.500  0.500  0.500
O  0.000  0.500  0.500
O  0.500  0.000  0.500
O  0.500  0.500  0.000

Output
Energy = -7.248 eV/atom
Total magnetization = 1.396 μB/atom
Fermi-level density of states = 2.5 states/eV per cell